1.
{"formula": "Ac8LaSm3", "functional": "PBE", "state": "optimized geometry", "magmom_total_mub_per_fu": 0.0, "mass_density_g_cm3": 7.31, "dos_ef_per_ev_cell": 18.881, "delta_e_f_ev_per_atom": 0.361, "sg": "Immm", "lattice": [[-7.944, 2.638, 4.227], [6.605, -6.347, 2.004], [5.598, 7.417, 1.254]], "species": ["Ac", "Ac", "Ac", "Ac", "Ac", "Ac", "Ac", "Ac", "Sm", "Sm", "Sm", "La"], "fractional_positions": [[0.035, 0.766, 0.269], [0.497, 0.766, 0.731], [0.837, 0.250, 0.087], [0.163, 0.750, 0.913], [0.503, 0.234, 0.269], [0.965, 0.234, 0.731], [0.837, 0.750, 0.587], [0.163, 0.250, 0.413], [0.500, 0.788, 0.288], [0.500, 0.212, 0.712], [0.000, 0.500, 0.500], [0.000, 0.000, 0.000]]}

2.
{"formula": "SmPt2Rh", "functional": "PBE", "state": "optimized geometry", "magmom_total_mub_per_fu": 0.0, "mass_density_g_cm3": 14.32, "dos_ef_per_ev_cell": 10.527, "delta_e_f_ev_per_atom": -0.809, "sg": "R-3m", "lattice": [[-1.920, 3.554, 3.588], [1.508, -0.307, 5.179], [6.697, 6.461, 1.251]], "species": ["Pt", "Pt", "Pt", "Pt", "Pt", "Pt", "Sm", "Sm", "Sm", "Rh", "Rh", "Rh"], "fractional_positions": [[0.584, 0.081, 0.750], [0.416, 0.416, 0.250], [0.416, 0.919, 0.250], [0.584, 0.584, 0.750], [0.919, 0.416, 0.250], [0.081, 0.584, 0.750], [0.860, 0.860, 0.419], [0.000, 0.000, 0.000], [0.140, 0.140, 0.581], [0.500, 0.500, 0.500], [0.333, 0.333, 0.001], [0.667, 0.667, 0.999]]}

3.
{"formula": "Mn3Si", "functional": "PBE", "state": "optimized geometry", "magmom_total_mub_per_fu": 1.7, "mass_density_g_cm3": 7.27, "dos_ef_per_ev_cell": 4.903, "e_form_raw_kj_per_mol_fu": -27, "sg": "R-3m", "lattice": [[-4.531, 0.271, 0.501], [1.726, -4.144, -0.839], [2.520, 2.783, 2.600]], "species": ["Mn", "Mn", "Mn", "Si"], "fractional_positions": [[0.000, 0.000, 0.000], [0.500, 0.500, 0.000], [0.500, 0.000, 0.500], [0.000, 0.500, 0.500]]}

4.
{"formula": "PmHoSb2", "functional": "PBE", "state": "optimized geometry", "relative_energy_mev_per_atom": 57, "magmom_total_mub_per_fu": 0.0, "mass_density_g_cm3": 7.46, "dos_ef_per_ev_cell": 1.478, "e_form_raw_kj_per_mol_fu": -421, "sg": "P6_3/mmc", "lattice": [[4.418, 0.000, 0.000], [-2.209, 3.826, 0.000], [0.000, 0.000, 14.582]], "species": ["Pm", "Pm", "Sb", "Sb", "Sb", "Sb", "Ho", "Ho"], "fractional_positions": [[0.333, 0.667, 0.750], [0.667, 0.333, 0.250], [0.333, 0.667, 0.381], [0.667, 0.333, 0.619], [0.333, 0.667, 0.119], [0.667, 0.333, 0.881], [0.000, 0.000, 0.500], [0.000, 0.000, 0.000]]}

5.
{"formula": "Pm5Dy4Pu", "functional": "PBE", "state": "optimized geometry", "magmom_total_mub_per_fu": 6.0, "mass_density_g_cm3": 8.24, "dos_ef_per_ev_cell": 17.594, "delta_e_f_ev_per_atom": 0.064, "sg": "C2/m", "lattice": [[-2.285, 0.089, 2.705], [-7.365, -6.404, -6.011], [6.242, -5.159, 3.123]], "species": ["Pm", "Pm", "Pm", "Pm", "Pm", "Dy", "Dy", "Dy", "Dy", "Pu"], "fractional_positions": [[0.187, 0.078, 0.373], [0.790, 0.386, 0.580], [0.813, 0.922, 0.627], [0.210, 0.614, 0.420], [0.500, 0.500, 0.000], [0.083, 0.288, 0.165], [0.917, 0.712, 0.835], [0.605, 0.799, 0.209], [0.395, 0.201, 0.791], [0.500, 0.000, 0.000]]}

6.
{"formula": "KMgNi", "functional": "PBE", "state": "optimized geometry", "relative_energy_mev_per_atom": 0, "magmom_total_mub_per_fu": 0.0, "mass_density_g_cm3": 2.68, "dos_ef_per_ev_cell": 1.239, "delta_e_f_ev_per_atom": 0.306, "sg": "Imm2", "lattice": [[-2.234, -6.236, 0.476], [2.799, -5.993, 0.594], [-0.952, 6.295, 1.888]], "species": ["K", "Mg", "Ni"], "fractional_positions": [[0.996, 0.996, 0.000], [0.729, 0.729, 0.000], [0.276, 0.276, 0.000]]}

7.
{"formula": "SrCd2Pt", "functional": "PBE", "state": "optimized geometry", "magmom_total_mub_per_fu": 0.0, "mass_density_g_cm3": 9.13, "dos_ef_per_ev_cell": 2.850, "delta_e_f_ev_per_atom": -0.288, "sg": "Fm-3m", "lattice": [[0.000, 3.587, 3.587], [3.587, 0.000, 3.587], [3.587, 3.587, 0.000]], "species": ["Sr", "Cd", "Cd", "Pt"], "fractional_positions": [[0.000, 0.000, 0.000], [0.750, 0.750, 0.750], [0.250, 0.250, 0.250], [0.500, 0.500, 0.500]]}

8.
{"formula": "Pm5Zr", "functional": "PBE", "state": "optimized geometry", "magmom_total_mub_per_fu": 0.0, "mass_density_g_cm3": 7.06, "dos_ef_per_ev_cell": 7.351, "delta_e_f_ev_per_atom": 0.086, "sg": "Cmmm", "lattice": [[-0.990, 0.290, 4.929], [-0.375, -5.000, 0.219], [7.610, 2.010, 1.410]], "species": ["Pm", "Pm", "Pm", "Pm", "Pm", "Zr"], "fractional_positions": [[0.500, 0.840, 0.679], [0.500, 0.500, 0.000], [0.000, 0.340, 0.681], [0.000, 0.660, 0.319], [0.500, 0.160, 0.321], [0.000, 0.000, 0.000]]}